(1)
# NbCo2N, PBEsol geometry, DFT SCAN
# spin magnetization	0.000	Bohr magnetons per cell
# space group	No. 122
# energy relative to the elements, uncorrected	0.248	eV per atom
# E	-152.1	eV per cell
# density of states at the Fermi level	3.0	states/eV/cell
data_NbCo2N
_symmetry_space_group_name_H-M 'P 1'
_symmetry_Int_Tables_number 1
_cell_length_a 5.2893
_cell_length_b 5.2893
_cell_length_c 5.2893
_cell_angle_alpha 122.11
_cell_angle_beta 122.11
_cell_angle_gamma 86.37
loop_
_symmetry_equiv_pos_as_xyz
'x,y,z'
loop_
_atom_site_label
_atom_site_type_symbol
_atom_site_fract_x
_atom_site_fract_y
_atom_site_fract_z
Nb1 Nb 0.0000 0.0000 0.0000
Nb2 Nb 0.7500 0.2500 0.5000
Co1 Co 0.2401 0.6250 0.1151
Co2 Co 0.3750 0.4901 0.6151
Co3 Co 0.5099 0.1250 0.8849
Co4 Co 0.8750 0.7599 0.3849
N1 N 0.2500 0.7500 0.5000
N2 N 0.5000 0.5000 0.0000



(2)
# Nb4Co2N, PBEsol geometry, DFT SCAN
# spin magnetization	0.021	Bohr magnetons per cell
# space group	No. 227
# energy relative to the elements, uncorrected	-0.461	eV per atom
# E	-718.6	eV per cell
# density of states at the Fermi level	30.6	states/eV/cell
data_Nb4Co2N
_symmetry_space_group_name_H-M 'P 1'
_symmetry_Int_Tables_number 1
_cell_length_a 8.1473
_cell_length_b 8.1473
_cell_length_c 8.1473
_cell_angle_alpha 60.00
_cell_angle_beta 60.00
_cell_angle_gamma 60.00
loop_
_symmetry_equiv_pos_as_xyz
'x,y,z'
loop_
_atom_site_label
_atom_site_type_symbol
_atom_site_fract_x
_atom_site_fract_y
_atom_site_fract_z
Nb1 Nb 0.0000 0.0000 0.0000
Nb2 Nb 0.0000 0.0000 0.5000
Nb3 Nb 0.0000 0.5000 0.0000
Nb4 Nb 0.1879 0.1879 0.5621
Nb5 Nb 0.1879 0.5621 0.1879
Nb6 Nb 0.1879 0.5621 0.5621
Nb7 Nb 0.4379 0.4379 0.8121
Nb8 Nb 0.4379 0.8121 0.4379
Nb9 Nb 0.4379 0.8121 0.8121
Nb10 Nb 0.5000 0.0000 0.0000
Nb11 Nb 0.5621 0.1879 0.1879
Nb12 Nb 0.5621 0.1879 0.5621
Nb13 Nb 0.5621 0.5621 0.1879
Nb14 Nb 0.8121 0.4379 0.4379
Nb15 Nb 0.8121 0.4379 0.8121
Nb16 Nb 0.8121 0.8121 0.4379
Co1 Co 0.1099 0.7967 0.7967
Co2 Co 0.2033 0.2033 0.2033
Co3 Co 0.2033 0.2033 0.8901
Co4 Co 0.2033 0.8901 0.2033
Co5 Co 0.7967 0.1099 0.7967
Co6 Co 0.7967 0.7967 0.1099
Co7 Co 0.7967 0.7967 0.7967
Co8 Co 0.8901 0.2033 0.2033
N1 N 0.0000 0.5000 0.5000
N2 N 0.5000 0.0000 0.5000
N3 N 0.5000 0.5000 0.0000
N4 N 0.5000 0.5000 0.5000



(3)
# Nb2CoN, PBEsol geometry, DFT SCAN
# spin magnetization	0.000	Bohr magnetons per cell
# space group	No. 122
# energy relative to the elements, uncorrected	-0.120	eV per atom
# E	-186.7	eV per cell
# density of states at the Fermi level	3.2	states/eV/cell
data_Nb2CoN
_symmetry_space_group_name_H-M 'P 1'
_symmetry_Int_Tables_number 1
_cell_length_a 6.0670
_cell_length_b 6.0670
_cell_length_c 6.0670
_cell_angle_alpha 130.58
_cell_angle_beta 130.58
_cell_angle_gamma 72.49
loop_
_symmetry_equiv_pos_as_xyz
'x,y,z'
loop_
_atom_site_label
_atom_site_type_symbol
_atom_site_fract_x
_atom_site_fract_y
_atom_site_fract_z
Nb1 Nb 0.0726 0.6250 0.9476
Nb2 Nb 0.3750 0.3226 0.4476
Nb3 Nb 0.6774 0.1250 0.0524
Nb4 Nb 0.8750 0.9274 0.5524
Co1 Co 0.2500 0.7500 0.5000
Co2 Co 0.5000 0.5000 0.0000
N1 N 0.0000 0.0000 0.0000
N2 N 0.7500 0.2500 0.5000



(4)
# NbCoN2, PBEsol geometry, DFT SCAN
# spin magnetization	2.046	Bohr magnetons per cell
# space group	No. 166
# energy relative to the elements, uncorrected	-0.453	eV per atom
# E	-70.8	eV per cell
# density of states at the Fermi level	0.8	states/eV/cell
data_NbCoN2
_symmetry_space_group_name_H-M 'P 1'
_symmetry_Int_Tables_number 1
_cell_length_a 6.0825
_cell_length_b 6.0825
_cell_length_c 6.0825
_cell_angle_alpha 29.54
_cell_angle_beta 29.54
_cell_angle_gamma 29.54
loop_
_symmetry_equiv_pos_as_xyz
'x,y,z'
loop_
_atom_site_label
_atom_site_type_symbol
_atom_site_fract_x
_atom_site_fract_y
_atom_site_fract_z
Nb1 Nb 0.0000 0.0000 0.0000
Co1 Co 0.5000 0.5000 0.5000
N1 N 0.3971 0.3971 0.3971
N2 N 0.6029 0.6029 0.6029